A plane-wave DFT calculation with PBE was carried out for an optimized crystal structure of MnSnMoIr.

Magnetic moment ... 0.508 μB per atom
Density of states at the Fermi level ... 6.11 states/eV/cell
Electronic total energy ... -8.23 eV/atom
Formation enthalpy at 0 K ... -0.01 eV per atom

```
data_MnSnMoIr
_chemical_formula_sum 'Mn4 Sn4 Mo4 Ir4'
_symmetry_space_group_name_H-M 'F -4 3 m'
_symmetry_Int_Tables_number 216
_symmetry_space_group_name_Hall 'F -4 2 3'
_cell_length_a 6.3293
_cell_length_b 6.3293
_cell_length_c 6.3293
_cell_angle_alpha 90.00
_cell_angle_beta 90.00
_cell_angle_gamma 90.00
loop_
_atom_site_label
_atom_site_type_symbol
_atom_site_fract_x
_atom_site_fract_y
_atom_site_fract_z
_atom_site_occupancy
Mn1 Mn 0.0000 0.0000 0.0000 1
Sn1 Sn 0.0000 0.0000 0.5000 1
Mo1 Mo 0.2500 0.2500 0.2500 1
Ir1 Ir 0.2500 0.2500 0.7500 1
```